[1]
DFT (PBE-GGA) results for a relaxed ReSnNF2 crystal.

Cell and atoms, written as POSCAR:
```
ReSnNF2
1.0
4.3461 0.0000 0.0000
0.0000 4.3461 0.0000
0.0000 0.0000 4.2364
Re N F Sn
1 1 2 1
direct
0.5000 0.5000 0.5000
0.0000 0.0000 0.5000
0.5000 0.0000 0.0000
0.0000 0.5000 0.0000
0.0000 0.0000 0.0000
```

- Polymorph energy (0 for the lowest one): 893 meV per atom
- Formation energy without anion corrections: 0.43 eV per atom

***

[2]
DFT (PBE-GGA) results for a relaxed Ba2Sb2H4Pt crystal.

Cell and atoms, written as POSCAR:
```
Ba2Sb2H4Pt
1.0
6.3967 -0.1637 -0.2582
-2.7193 5.7922 0.2582
-2.7193 -2.2389 5.3482
Sb H Pt Ba
2 4 1 2
direct
0.0000 0.6678 0.6678
0.0000 0.3322 0.3322
0.0000 0.1760 0.8240
0.3520 0.1760 0.1760
0.0000 0.8240 0.1760
0.6480 0.8240 0.8240
0.0000 0.0000 0.0000
0.5000 0.2500 0.7500
0.5000 0.7500 0.2500
```

- Total DFT energy (no corrections): -3.912 eV/atom

***

[3]
DFT (PBE-GGA) results for a relaxed Pa3Ga4Pd2 crystal.

Cell and atoms, written as POSCAR:
```
Pa3Ga4Pd2
1.0
4.6297 0.0000 0.0000
-2.3149 4.7007 -2.0058
0.0000 -1.0113 8.5286
Pa Pd Ga
3 2 4
direct
0.6620 0.3240 0.6654
0.3380 0.6760 0.3346
0.0000 0.0000 0.0000
0.3825 0.7650 0.7176
0.6175 0.2350 0.2824
0.0605 0.1211 0.3904
0.7237 0.4474 0.0576
0.2763 0.5526 0.9424
0.9395 0.8789 0.6096
```

- Polymorph energy (0 for the lowest one): 0 meV per atom
- Energy of formation: -510 meV/atom

***

[4]
DFT (PBE-GGA) results for a relaxed Sr5Mg4Zn crystal.

Cell and atoms, written as POSCAR:
```
Sr5Mg4Zn
1.0
-2.4780 0.6854 3.1788
-2.7355 -2.6003 -1.5718
9.0308 -15.8174 10.4504
Sr Mg Zn
5 4 1
direct
0.5000 0.5000 0.5000
0.5000 0.5000 0.2951
0.5000 0.5000 0.7049
0.5000 0.5000 0.9106
0.5000 0.5000 0.0894
0.0000 0.0000 0.1935
0.0000 0.0000 0.6024
0.0000 0.0000 0.8065
0.0000 0.0000 0.3976
0.0000 0.0000 0.0000
```

- Energy of formation: -78 meV/atom

***

[5]
DFT (PBE-GGA) results for a relaxed ScTiO2 crystal.

Cell and atoms, written as POSCAR:
```
ScTiO2
1.0
0.0000 2.7028 2.7028
2.7028 0.0000 2.7028
2.7028 2.7028 0.0000
Ti O Sc
1 2 1
direct
0.5000 0.5000 0.5000
0.7500 0.7500 0.7500
0.2500 0.2500 0.2500
0.0000 0.0000 0.0000
```

- Polymorph energy (0 for the lowest one): 521 meV per atom
- Formation energy without anion corrections: -2.14 eV per atom

***

[6]
DFT (PBE-GGA) results for a relaxed ReB3Mo crystal.

Cell and atoms, written as POSCAR:
```
ReB3Mo
1.0
-2.8584 0.8361 0.4116
-1.0428 -2.9046 -1.3416
0.5897 -2.4989 9.1723
Re B Mo
2 6 2
direct
0.2500 0.0722 0.1443
0.7500 0.9278 0.8557
0.2500 0.6694 0.3387
0.7500 0.5230 0.0461
0.2500 0.4770 0.9539
0.7500 0.6163 0.2327
0.7500 0.3306 0.6613
0.2500 0.3837 0.7673
0.7500 0.1992 0.3985
0.2500 0.8008 0.6015
```

- Polymorph energy (0 for the lowest one): 0 meV per atom
- Energy of formation: -89 meV/atom

***

[7]
DFT (PBE-GGA) results for a relaxed CePr5Sn4 crystal.

Cell and atoms, written as POSCAR:
```
CePr5Sn4
1.0
-0.6605 -5.4707 0.6274
7.0922 -1.0255 -1.4753
-4.9315 4.4704 9.2762
Sn Ce Pr
4 1 5
direct
0.0080 0.2647 0.0161
0.9920 0.7353 0.9839
0.6748 0.0999 0.3497
0.3252 0.9001 0.6503
0.5000 0.0000 0.0000
0.8334 0.6738 0.6669
0.8343 0.1604 0.6685
0.1666 0.3262 0.3331
0.5000 0.5000 0.0000
0.1657 0.8396 0.3315
```

- Energy of formation: -531 meV/atom

***

[8]
DFT (PBE-GGA) results for a relaxed Zr4HCN2 crystal.

Cell and atoms, written as POSCAR:
```
Zr4HCN2
1.0
4.6371 0.2526 0.0000
-0.2526 4.6371 0.0000
-2.1923 -2.4448 4.6624
Zr H N C
4 1 2 1
direct
0.1754 0.1754 0.4766
0.4371 0.9371 0.0000
0.9371 0.4371 0.0000
0.6988 0.6988 0.5234
0.4374 0.4374 0.0000
0.1871 0.6871 0.5000
0.6871 0.1871 0.5000
0.9371 0.9371 0.0000
```

- Total DFT energy (no corrections): -9.088 eV/atom